! Pm4Y5Tm3, optimized geometry, DFT PBE; values from VASP
! E_form = 226 meV per atom
! SG = No. 12
&SYSTEM
  ibrav = 0, nat = 12, ntyp = 3
/
ATOMIC_SPECIES
Pm 145.00 Pm.upf
Y 88.91 Y.upf
Tm 168.93 Tm.upf
CELL_PARAMETERS angstrom
5.906 0.000 0.000
2.953 7.616 -2.725
2.953 -0.844 9.186
ATOMIC_POSITIONS crystal
Pm 0.863 0.221 0.053
Pm 0.165 0.053 0.618
Pm 0.835 0.947 0.382
Pm 0.137 0.779 0.947
Y 0.634 0.938 0.794
Y 0.500 0.500 0.500
Y 0.211 0.460 0.118
Y 0.789 0.540 0.882
Y 0.366 0.062 0.206
Tm 0.523 0.689 0.264
Tm 0.000 0.500 0.500
Tm 0.477 0.311 0.736